The following is a DFT calculation (GGA-PBEsol) of an optimized crystal structure of MoAsS3.

- Magnetic moment: 1.2 μB/f.u.
- Formation energy from raw total energies: 0.300 eV/atom

Geometry as CIF:
```
data_MoAsS3
_chemical_formula_sum 'Mo1 As1 S3'
_cell_length_a 4.6135
_cell_length_b 4.6135
_cell_length_c 4.6135
_cell_angle_alpha 90.00
_cell_angle_beta 90.00
_cell_angle_gamma 90.00
_space_group_name_H-M_alt 'P 1'
_space_group_IT_number 1
_space_group_name_Hall 'P 1'
loop_
_atom_site_label
_atom_site_type_symbol
_atom_site_fract_x
_atom_site_fract_y
_atom_site_fract_z
Mo1 Mo 0.0000 0.0000 0.0000
S1 S 0.5000 0.0000 0.0000
S2 S 0.0000 0.5000 0.0000
S3 S 0.0000 0.0000 0.5000
As1 As 0.5000 0.5000 0.5000
```

=====

The following is a DFT calculation (GGA-PBEsol) of an optimized crystal structure of SbMoAs2.

- Magnetic moment: 0.0 μB/f.u.
- Formation energy from raw total energies: 0.383 eV/atom

Geometry as CIF:
```
data_SbMoAs2
_chemical_formula_sum 'Sb1 Mo1 As2'
_cell_length_a 2.9303
_cell_length_b 2.9303
_cell_length_c 9.4372
_cell_angle_alpha 90.00
_cell_angle_beta 90.00
_cell_angle_gamma 107.96
_space_group_name_H-M_alt 'P 1'
_space_group_IT_number 1
_space_group_name_Hall 'P 1'
loop_
_atom_site_label
_atom_site_type_symbol
_atom_site_fract_x
_atom_site_fract_y
_atom_site_fract_z
As1 As 0.5000 0.5000 0.7145
As2 As 0.0000 0.0000 0.9923
Mo1 Mo 0.0000 0.0000 0.5177
Sb1 Sb 0.5000 0.5000 0.2755
```

=====

The following is a DFT calculation (GGA-PBEsol) of an optimized crystal structure of SbMoAs2.

- Magnetic moment: 0.0 μB/f.u.
- Formation energy from raw total energies: -0.027 eV/atom

Geometry as CIF:
```
data_SbMoAs2
_chemical_formula_sum 'Sb1 Mo1 As2'
_cell_length_a 3.1656
_cell_length_b 3.1656
_cell_length_c 9.0769
_cell_angle_alpha 79.96
_cell_angle_beta 79.96
_cell_angle_gamma 60.00
_space_group_name_H-M_alt 'P 1'
_space_group_IT_number 1
_space_group_name_Hall 'P 1'
loop_
_atom_site_label
_atom_site_type_symbol
_atom_site_fract_x
_atom_site_fract_y
_atom_site_fract_z
Sb1 Sb 0.5000 0.5000 0.5000
Mo1 Mo 0.0000 0.0000 0.0000
As1 As 0.7338 0.7338 0.7987
As2 As 0.2662 0.2662 0.2013
```

=====

The following is a DFT calculation (GGA-PBEsol) of an optimized crystal structure of Sb2Mo2As.

- Magnetic moment: 0.0 μB/f.u.
- Formation energy from raw total energies: 0.728 eV/atom

Geometry as CIF:
```
data_Sb2Mo2As
_chemical_formula_sum 'Sb2 Mo2 As1'
_cell_length_a 4.0810
_cell_length_b 4.0810
_cell_length_c 6.8396
_cell_angle_alpha 107.36
_cell_angle_beta 107.36
_cell_angle_gamma 90.00
_space_group_name_H-M_alt 'P 1'
_space_group_IT_number 1
_space_group_name_Hall 'P 1'
loop_
_atom_site_label
_atom_site_type_symbol
_atom_site_fract_x
_atom_site_fract_y
_atom_site_fract_z
Mo1 Mo 0.6035 0.6035 0.2070
Mo2 Mo 0.3965 0.3965 0.7930
As1 As 0.0000 0.0000 0.0000
Sb1 Sb 0.2500 0.7500 0.5000
Sb2 Sb 0.7500 0.2500 0.5000
```

=====

The following is a DFT calculation (GGA-PBEsol) of an optimized crystal structure of SbMoAs2.

- Magnetic moment: 0.0 μB/f.u.
- Formation energy from raw total energies: 0.285 eV/atom

Geometry as CIF:
```
data_SbMoAs2
_chemical_formula_sum 'Sb1 Mo1 As2'
_cell_length_a 3.6236
_cell_length_b 4.7131
_cell_length_c 4.6854
_cell_angle_alpha 90.00
_cell_angle_beta 100.68
_cell_angle_gamma 90.00
_space_group_name_H-M_alt 'P 1'
_space_group_IT_number 1
_space_group_name_Hall 'P 1'
loop_
_atom_site_label
_atom_site_type_symbol
_atom_site_fract_x
_atom_site_fract_y
_atom_site_fract_z
Sb1 Sb 0.0000 0.5000 0.5000
As1 As 0.7029 0.0000 0.8154
As2 As 0.2971 0.0000 0.1846
Mo1 Mo 0.5000 0.5000 0.0000
```

=====

The following is a DFT calculation (GGA-PBEsol) of an optimized crystal structure of Sb2MoAs.

- Magnetic moment: 0.0 μB/f.u.
- Formation energy from raw total energies: -0.013 eV/atom

Geometry as CIF:
```
data_Sb2MoAs
_chemical_formula_sum 'Sb2 Mo1 As1'
_cell_length_a 3.2772
_cell_length_b 3.2772
_cell_length_c 7.6199
_cell_angle_alpha 90.00
_cell_angle_beta 90.00
_cell_angle_gamma 90.00
_space_group_name_H-M_alt 'P 1'
_space_group_IT_number 1
_space_group_name_Hall 'P 1'
loop_
_atom_site_label
_atom_site_type_symbol
_atom_site_fract_x
_atom_site_fract_y
_atom_site_fract_z
Mo1 Mo 0.5000 0.5000 0.7057
As1 As 0.0000 0.0000 0.5513
Sb1 Sb 0.5000 0.5000 0.3012
Sb2 Sb 0.0000 0.0000 0.9418
```

=====

The following is a DFT calculation (GGA-PBEsol) of an optimized crystal structure of SbMo2As.

- Magnetic moment: 0.0 μB/f.u.
- Formation energy from raw total energies: 0.114 eV/atom

Geometry as CIF:
```
data_SbMo2As
_chemical_formula_sum 'Sb1 Mo2 As1'
_cell_length_a 4.5127
_cell_length_b 4.5127
_cell_length_c 4.5127
_cell_angle_alpha 60.00
_cell_angle_beta 60.00
_cell_angle_gamma 60.00
_space_group_name_H-M_alt 'P 1'
_space_group_IT_number 1
_space_group_name_Hall 'P 1'
loop_
_atom_site_label
_atom_site_type_symbol
_atom_site_fract_x
_atom_site_fract_y
_atom_site_fract_z
As1 As 0.5000 0.5000 0.5000
Sb1 Sb 0.0000 0.0000 0.0000
Mo1 Mo 0.2500 0.2500 0.2500
Mo2 Mo 0.7500 0.7500 0.7500
```

=====

The following is a DFT calculation (GGA-PBEsol) of an optimized crystal structure of SbMoAsSe2.

- Magnetic moment: 3.2 μB/f.u.
- Formation energy from raw total energies: 1.333 eV/atom

Geometry as CIF:
```
data_SbMoAsSe2
_chemical_formula_sum 'Sb1 Mo1 As1 Se2'
_cell_length_a 5.1747
_cell_length_b 5.1747
_cell_length_c 5.1371
_cell_angle_alpha 90.00
_cell_angle_beta 90.00
_cell_angle_gamma 90.00
_space_group_name_H-M_alt 'P 1'
_space_group_IT_number 1
_space_group_name_Hall 'P 1'
loop_
_atom_site_label
_atom_site_type_symbol
_atom_site_fract_x
_atom_site_fract_y
_atom_site_fract_z
Sb1 Sb 0.0000 0.0000 0.0000
Mo1 Mo 0.5000 0.5000 0.5000
Se1 Se 0.5000 0.0000 0.0000
Se2 Se 0.0000 0.5000 0.0000
As1 As 0.0000 0.0000 0.5000
```

=====

The following is a DFT calculation (GGA-PBEsol) of an optimized crystal structure of ScMoAs2.

- Magnetic moment: 0.0 μB/f.u.
- Formation enthalpy at 0 K: 29 meV/atom
- Offset from the most stable computed form: 10.757 kcal/mol of atoms

Geometry as CIF:
```
data_ScMoAs2
_chemical_formula_sum 'Sc1 Mo1 As2'
_cell_length_a 4.5498
_cell_length_b 4.5498
_cell_length_c 4.5498
_cell_angle_alpha 60.00
_cell_angle_beta 60.00
_cell_angle_gamma 60.00
_space_group_name_H-M_alt 'P 1'
_space_group_IT_number 1
_space_group_name_Hall 'P 1'
loop_
_atom_site_label
_atom_site_type_symbol
_atom_site_fract_x
_atom_site_fract_y
_atom_site_fract_z
Mo1 Mo 0.5000 0.5000 0.5000
As1 As 0.7500 0.7500 0.7500
As2 As 0.0000 0.0000 0.0000
Sc1 Sc 0.2500 0.2500 0.2500
```

=====

The following is a DFT calculation (GGA-PBEsol) of an optimized crystal structure of ScMo2As.

- Magnetic moment: 0.0 μB/f.u.
- Formation enthalpy at 0 K: -105 meV/atom

Geometry as CIF:
```
data_ScMo2As
_chemical_formula_sum 'Sc1 Mo2 As1'
_cell_length_a 4.1768
_cell_length_b 4.6700
_cell_length_c 4.1768
_cell_angle_alpha 63.44
_cell_angle_beta 90.00
_cell_angle_gamma 116.56
_space_group_name_H-M_alt 'P 1'
_space_group_IT_number 1
_space_group_name_Hall 'P 1'
loop_
_atom_site_label
_atom_site_type_symbol
_atom_site_fract_x
_atom_site_fract_y
_atom_site_fract_z
Mo1 Mo 0.2500 0.5000 0.2500
Mo2 Mo 0.0000 0.0000 0.0000
Sc1 Sc 0.5000 0.0000 0.5000
As1 As 0.7500 0.5000 0.7500
```

=====

Number 1: theoretical density 4.52 Mg/m³, DOS(E_F) 5.00 states/eV/cell. Number 2: theoretical density 7.92 Mg/m³, DOS(E_F) 3.24 states/eV/cell. Number 3: theoretical density 7.91 Mg/m³, DOS(E_F) 2.75 states/eV/cell. Number 4: theoretical density 8.21 Mg/m³, DOS(E_F) 6.58 states/eV/cell. Number 5: theoretical density 7.76 Mg/m³, DOS(E_F) 3.05 states/eV/cell. Number 6: theoretical density 8.41 Mg/m³, DOS(E_F) 2.06 states/eV/cell. Number 7: theoretical density 9.93 Mg/m³, DOS(E_F) 3.44 states/eV/cell. Number 8: theoretical density 5.44 Mg/m³, DOS(E_F) 4.63 states/eV/cell. Number 9: theoretical density 7.25 Mg/m³, DOS(E_F) 5.46 states/eV/cell. Number 10: theoretical density 8.20 Mg/m³, DOS(E_F) 2.25 states/eV/cell.